First-principles (PBE with a Hubbard U) data for a relaxed structure of MnFeF3, as listed in Alexandria via LeMat-Bulk.

Cell and atoms, written as POSCAR:
```
MnFeF3
1.0
4.158 0.000 0.000
0.000 4.158 0.000
0.000 0.000 4.158
Mn Fe F
1 1 3
direct
0.500 0.500 0.500 Mn
0.000 0.000 0.000 Fe
0.000 0.500 0.000 F
0.000 0.000 0.500 F
0.500 0.000 0.000 F
```

Energy above the lowest structure with this stoichiometry: 0.171 eV/atom
Electronic total energy: -26.5 eV/cell